# Mn2SbPt

A relaxed Mn2SbPt crystal (PBE, the Alexandria database).

For the total magnetization, the calculation gives 7.474 μB per formula unit. Its uncorrected formation energy is -0.1008 eV per atom.

The structure belongs to space group I4/mmm (No. 139); the cell edges are 4.0500, 4.0500 and 8.0367 Å and the angles 90.00°, 90.00° and 90.00°. The asymmetric unit holds Mn at (0.0000, 0.5000, 0.2500), Sb at (0.0000, 0.0000, 0.0000) and Pt at (0.0000, 0.0000, 0.5000).

---

# MnSbPt2

A relaxed MnSbPt2 crystal (PBE, the Alexandria database).

For the total magnetization, the calculation gives 4.453 μB per formula unit. Its uncorrected formation energy is -0.2316 eV per atom.

The structure belongs to space group Cm (No. 8); the cell edges are 9.1339, 3.6904 and 4.3276 Å and the angles 90.00°, 107.65° and 90.00°. The asymmetric unit holds Mn at (0.0000, 0.0000, 0.0000), Sb at (0.2351, 0.0000, 0.6635), Pt at (0.2385, 0.5000, 0.1543) and Pt at (0.4964, 0.0000, 0.4894).